(1)
Computed, not measured: a geometry-optimized Tm6MgPd2 structure at the GGA-PBE level of DFT.

Cell lengths 8.468, 8.468, 8.468 Å; angles 104.24, 111.67, 112.63 degrees
Element x y z (fractional)
Mg  0.000  0.500  0.500
Mg  0.000  0.000  0.000
Tm  0.897  0.712  0.185
Tm  0.299  0.976  0.677
Tm  0.299  0.622  0.323
Tm  0.527  0.712  0.815
Tm  0.802  0.238  0.041
Tm  0.103  0.288  0.815
Tm  0.802  0.762  0.564
Tm  0.701  0.024  0.323
Tm  0.473  0.288  0.185
Tm  0.701  0.378  0.677
Tm  0.198  0.238  0.436
Tm  0.198  0.762  0.959
Pd  0.500  0.368  0.868
Pd  0.500  0.632  0.132
Pd  0.339  0.000  0.339
Pd  0.661  0.000  0.661

Results
Density (g cm⁻³): 8.9
Spin magnetization (μB per atom): 0.00
Symmetry: Immm (71)
Formation energy (eV per atom): -0.4519
Total DFT energy (no corrections) (eV per atom): -4.7640

***

(2)
Computed, not measured: a geometry-optimized Tm4MgPd structure at the GGA-PBE level of DFT.

Cell lengths 5.907, 9.088, 7.839 Å; angles 116.37, 99.69, 111.08 degrees
Element x y z (fractional)
Tm  0.381  0.932  0.648
Tm  0.071  0.196  0.823
Tm  0.748  0.372  0.177
Tm  0.929  0.804  0.177
Tm  0.619  0.068  0.352
Tm  0.767  0.716  0.648
Tm  0.233  0.284  0.352
Tm  0.252  0.628  0.823
Pd  0.250  0.000  0.000
Pd  0.750  0.000  0.000
Mg  0.633  0.383  0.765
Mg  0.367  0.617  0.235

Results
Density (g cm⁻³): 8.3
Spin magnetization (μB per atom): 0.00
Symmetry: C2/c (15)
Formation energy (eV per atom): -0.2600
Total DFT energy (no corrections) (eV per atom): -4.3722

***

(3)
Computed, not measured: a geometry-optimized Tm4MgPd structure at the GGA-PBE level of DFT.

Cell lengths 9.644, 9.644, 9.644 Å; angles 60.00, 60.00, 60.00 degrees
Element x y z (fractional)
Tm  0.561  0.561  0.939
Tm  0.399  0.399  0.802
Tm  0.939  0.939  0.561
Tm  0.183  0.183  0.817
Tm  0.802  0.399  0.399
Tm  0.183  0.817  0.817
Tm  0.817  0.817  0.183
Tm  0.939  0.561  0.561
Tm  0.939  0.561  0.939
Tm  0.817  0.183  0.817
Tm  0.183  0.817  0.183
Tm  0.561  0.939  0.561
Tm  0.561  0.939  0.939
Tm  0.817  0.183  0.183
Tm  0.399  0.802  0.399
Tm  0.399  0.399  0.399
Pd  0.606  0.181  0.606
Pd  0.606  0.606  0.181
Pd  0.606  0.606  0.606
Pd  0.181  0.606  0.606
Mg  0.491  0.170  0.170
Mg  0.170  0.170  0.170
Mg  0.170  0.491  0.170
Mg  0.170  0.170  0.491

Results
Density (g cm⁻³): 8.4
Spin magnetization (μB per atom): 0.00
Symmetry: F-43m (216)
Formation energy (eV per atom): -0.3709
Total DFT energy (no corrections) (eV per atom): -4.4832

***

(4)
Computed, not measured: a geometry-optimized TmMgPd5 structure at the GGA-PBE level of DFT.

Cell lengths 4.109, 4.109, 7.378 Å; angles 90.00, 90.00, 90.00 degrees
Element x y z (fractional)
Tm  0.000  0.000  0.500
Pd  0.500  0.500  0.500
Pd  0.000  0.500  0.773
Pd  0.000  0.500  0.227
Pd  0.500  0.000  0.227
Pd  0.500  0.000  0.773
Mg  0.500  0.500  0.000

Results
Density (g cm⁻³): 9.7
Spin magnetization (μB per atom): 0.00
Symmetry: P4/mmm (123)
Formation energy (eV per atom): -0.5944
Total DFT energy (no corrections) (eV per atom): -5.1701

***

(5)
Computed, not measured: a geometry-optimized TmMg8Pd6 structure at the GGA-PBE level of DFT.

Cell lengths 7.138, 7.138, 7.138 Å; angles 67.01, 67.01, 67.01 degrees
Element x y z (fractional)
Pd  0.948  0.614  0.288
Pd  0.614  0.288  0.948
Pd  0.288  0.948  0.614
Pd  0.052  0.386  0.712
Pd  0.386  0.712  0.052
Pd  0.712  0.052  0.386
Mg  0.779  0.461  0.113
Mg  0.113  0.779  0.461
Mg  0.221  0.539  0.887
Mg  0.333  0.333  0.333
Mg  0.667  0.667  0.667
Mg  0.461  0.113  0.779
Mg  0.539  0.887  0.221
Mg  0.887  0.221  0.539
Tm  0.000  0.000  0.000

Results
Density (g cm⁻³): 5.6
Spin magnetization (μB per atom): 0.00
Symmetry: R-3 (148)
Formation energy (eV per atom): -0.5918
Total DFT energy (no corrections) (eV per atom): -3.8175

***

(6)
Computed, not measured: a geometry-optimized Tm2MgPd8 structure at the GGA-PBE level of DFT.

Cell lengths 4.185, 6.516, 7.557 Å; angles 106.82, 106.07, 90.00 degrees
Element x y z (fractional)
Pd  0.671  0.905  0.342
Pd  0.408  0.554  0.815
Pd  0.858  0.818  0.716
Pd  0.592  0.446  0.185
Pd  0.964  0.276  0.929
Pd  0.142  0.182  0.284
Pd  0.036  0.724  0.071
Pd  0.329  0.095  0.658
Mg  0.500  0.000  0.000
Tm  0.784  0.333  0.567
Tm  0.216  0.667  0.433

Results
Density (g cm⁻³): 10.7
Spin magnetization (μB per atom): 0.00
Symmetry: C2/m (12)
Formation energy (eV per atom): -0.6856
Total DFT energy (no corrections) (eV per atom): -5.4201

***

(7)
Computed, not measured: a geometry-optimized Tm12Mg5Pd3 structure at the GGA-PBE level of DFT.

Cell lengths 15.031, 15.031, 15.031 Å; angles 109.47, 109.47, 109.47 degrees
Element x y z (fractional)
Tm  0.447  0.079  0.342
Tm  0.842  0.947  0.079
Tm  0.342  0.764  0.396
Tm  0.421  0.658  0.053
Tm  0.264  0.396  0.842
Tm  0.079  0.632  0.736
Tm  0.736  0.604  0.158
Tm  0.868  0.604  0.947
Tm  0.053  0.896  0.132
Tm  0.421  0.764  0.868
Tm  0.947  0.104  0.868
Tm  0.553  0.921  0.658
Tm  0.658  0.421  0.553
Tm  0.896  0.842  0.764
Tm  0.896  0.053  0.632
Tm  0.764  0.421  0.368
Tm  0.579  0.236  0.132
Tm  0.921  0.553  0.158
Tm  0.396  0.264  0.342
Tm  0.236  0.658  0.104
Tm  0.396  0.132  0.553
Tm  0.947  0.842  0.579
Tm  0.079  0.447  0.842
Tm  0.447  0.368  0.604
Tm  0.604  0.736  0.658
Tm  0.132  0.736  0.579
Tm  0.368  0.447  0.104
Tm  0.842  0.896  0.264
Tm  0.264  0.868  0.921
Tm  0.053  0.158  0.421
Tm  0.132  0.396  0.053
Tm  0.104  0.947  0.368
Tm  0.553  0.632  0.396
Tm  0.658  0.236  0.604
Tm  0.632  0.553  0.896
Tm  0.921  0.368  0.264
Tm  0.104  0.158  0.236
Tm  0.342  0.579  0.447
Tm  0.604  0.868  0.447
Tm  0.868  0.264  0.421
Tm  0.158  0.104  0.736
Tm  0.579  0.342  0.947
Tm  0.736  0.132  0.079
Tm  0.236  0.579  0.632
Tm  0.158  0.053  0.921
Tm  0.632  0.079  0.236
Tm  0.368  0.921  0.764
Tm  0.764  0.342  0.896
Mg  0.375  0.125  0.750
Mg  0.625  0.875  0.250
Mg  0.000  0.000  0.000
Mg  0.000  0.000  0.500
Mg  0.000  0.500  0.000
Mg  0.875  0.250  0.625
Mg  0.500  0.500  0.500
Mg  0.500  0.500  0.000
Mg  0.750  0.625  0.375
Mg  0.500  0.000  0.500
Mg  0.000  0.500  0.500
Mg  0.625  0.750  0.875
Mg  0.250  0.375  0.625
Mg  0.750  0.125  0.875
Mg  0.500  0.000  0.000
Mg  0.125  0.375  0.250
Mg  0.375  0.250  0.125
Mg  0.250  0.875  0.125
Mg  0.125  0.750  0.375
Mg  0.875  0.625  0.750
Pd  0.375  0.625  0.250
Pd  0.875  0.125  0.250
Pd  0.125  0.875  0.750
Pd  0.250  0.125  0.375
Pd  0.625  0.250  0.375
Pd  0.750  0.875  0.625
Pd  0.125  0.250  0.875
Pd  0.750  0.375  0.125
Pd  0.250  0.625  0.875
Pd  0.625  0.375  0.750
Pd  0.875  0.750  0.125
Pd  0.375  0.750  0.625

Results
Density (g cm⁻³): 6.3
Spin magnetization (μB per atom): 0.00
Symmetry: Ia-3d (230)
Formation energy (eV per atom): 0.3712
Total DFT energy (no corrections) (eV per atom): -3.4893

***

(8)
Computed, not measured: a geometry-optimized Tm6MgPd structure at the GGA-PBE level of DFT.

Cell lengths 7.055, 7.070, 6.977 Å; angles 59.68, 59.76, 59.93 degrees
Element x y z (fractional)
Pd  0.000  0.000  0.000
Mg  0.500  0.500  0.500
Tm  0.437  0.780  0.757
Tm  0.220  0.976  0.242
Tm  0.975  0.563  0.242
Tm  0.025  0.437  0.758
Tm  0.563  0.220  0.243
Tm  0.780  0.024  0.758

Results
Density (g cm⁻³): 7.8
Spin magnetization (μB per atom): 0.00
Symmetry: P-1 (2)
Formation energy (eV per atom): 0.0892
Total DFT energy (no corrections) (eV per atom): -4.1129